A plane-wave DFT calculation with PBE was carried out for a relaxed structure of TcMo2Br.

Cell lengths 3.784, 3.784, 8.978 Å; angles 90.00, 90.00, 90.00 degrees
Fractional coordinates of all 8 atoms:
1 Tc 0.000 0.000 0.000
2 Tc 0.500 0.500 0.500
3 Mo 0.000 0.500 0.250
4 Mo 0.000 0.500 0.750
5 Mo 0.500 0.000 0.250
6 Mo 0.500 0.000 0.750
7 Br 0.000 0.000 0.500
8 Br 0.500 0.500 0.000

- VASP energy: -7.452 eV/atom
- ΔE_f (raw): 93.90 kJ per mole of atoms
- Energy above the lowest structure with this stoichiometry: 0.565 eV/atom

=====

A plane-wave DFT calculation with PBE was carried out for a relaxed structure of TcMoBr2.

Cell lengths 4.550, 4.550, 3.203 Å; angles 90.00, 90.00, 90.00 degrees
Fractional coordinates of all 4 atoms:
1 Tc 0.000 0.000 0.000
2 Mo 0.500 0.500 0.000
3 Br 0.000 0.500 0.500
4 Br 0.500 0.000 0.500

- VASP energy: -5.051 eV/atom
- ΔE_f (raw): 104.69 kJ per mole of atoms
- Energy above the lowest structure with this stoichiometry: 1.124 eV/atom

=====

A plane-wave DFT calculation with PBE was carried out for a relaxed structure of Tc2MoBr.

Cell lengths 6.320, 6.320, 6.320 Å; angles 90.00, 90.00, 90.00 degrees
Fractional coordinates of all 16 atoms:
1 Tc 0.250 0.250 0.250
2 Tc 0.250 0.250 0.750
3 Tc 0.250 0.750 0.250
4 Tc 0.250 0.750 0.750
5 Tc 0.750 0.250 0.250
6 Tc 0.750 0.250 0.750
7 Tc 0.750 0.750 0.250
8 Tc 0.750 0.750 0.750
9 Mo 0.000 0.000 0.000
10 Mo 0.000 0.500 0.500
11 Mo 0.500 0.000 0.500
12 Mo 0.500 0.500 0.000
13 Br 0.000 0.000 0.500
14 Br 0.000 0.500 0.000
15 Br 0.500 0.000 0.000
16 Br 0.500 0.500 0.500

- VASP energy: -7.340 eV/atom
- ΔE_f (raw): 93.49 kJ per mole of atoms
- Energy above the lowest structure with this stoichiometry: 0.498 eV/atom

=====

A plane-wave DFT calculation with PBE was carried out for a relaxed structure of TcMo2Br.

Cell lengths 2.967, 2.967, 26.415 Å; angles 90.00, 90.00, 120.00 degrees
Fractional coordinates of all 12 atoms:
1 Tc 0.000 0.000 0.000
2 Tc 0.333 0.667 0.667
3 Tc 0.667 0.333 0.333
4 Mo 0.000 0.000 0.259
5 Mo 0.000 0.000 0.505
6 Mo 0.333 0.667 0.172
7 Mo 0.333 0.667 0.925
8 Mo 0.667 0.333 0.592
9 Mo 0.667 0.333 0.839
10 Br 0.000 0.000 0.761
11 Br 0.333 0.667 0.428
12 Br 0.667 0.333 0.094

- VASP energy: -7.924 eV/atom
- ΔE_f (raw): 48.32 kJ per mole of atoms
- Energy above the lowest structure with this stoichiometry: 0.093 eV/atom

=====

A plane-wave DFT calculation with PBE was carried out for a relaxed structure of Tc2MoBr.

Cell lengths 2.986, 4.489, 9.234 Å; angles 90.00, 90.00, 90.00 degrees
Fractional coordinates of all 8 atoms:
1 Tc 0.000 0.000 0.000
2 Tc 0.000 0.500 0.245
3 Tc 0.500 0.000 0.745
4 Tc 0.500 0.500 0.500
5 Mo 0.000 0.000 0.467
6 Mo 0.500 0.500 0.967
7 Br 0.000 0.500 0.735
8 Br 0.500 0.000 0.235

- VASP energy: -7.625 eV/atom
- ΔE_f (raw): 65.98 kJ per mole of atoms
- Energy above the lowest structure with this stoichiometry: 0.213 eV/atom

=====

A plane-wave DFT calculation with PBE was carried out for a relaxed structure of TcMoBr2.

Cell lengths 6.933, 3.116, 9.459 Å; angles 90.00, 104.98, 90.00 degrees
Fractional coordinates of all 8 atoms:
1 Tc 0.000 0.000 0.000
2 Tc 0.500 0.500 0.000
3 Mo 0.171 0.000 0.835
4 Mo 0.671 0.500 0.835
5 Br 0.012 0.500 0.620
6 Br 0.155 0.500 0.212
7 Br 0.512 0.000 0.620
8 Br 0.655 0.000 0.212

- VASP energy: -6.174 eV/atom
- ΔE_f (raw): -3.71 kJ per mole of atoms
- Energy above the lowest structure with this stoichiometry: 0.000 eV/atom

=====

> Which formula does entry 1 have?

TcMo2Br